! Hg2Pb2Cl | Alexandria | GGA-PBEsol | optimized geometry; values from VASP
! E_form (uncorrected)   -0.1332 eV per atom
! D(E_F)   2.7 states/eV per cell
! Calculated density   10.48 g/cm³
! Symmetry   No. 139
&SYSTEM
  ibrav = 0, nat = 5, ntyp = 3
/
ATOMIC_SPECIES
Pb 207.20 Pb.upf
Hg 200.59 Hg.upf
Cl 35.45 Cl.upf
CELL_PARAMETERS angstrom
4.113 0.000 0.000
0.000 4.113 0.000
-2.056 -2.056 7.971
ATOMIC_POSITIONS crystal
Pb 0.400 0.400 0.801
Pb 0.600 0.600 0.199
Hg 0.250 0.750 0.500
Hg 0.750 0.250 0.500
Cl 0.000 0.000 0.000